# ScCr2Au (GGA-PBE, relaxed)
# E above lowest polymorph   305 meV per atom
# Space-group type   P2/m, No. 10
data_ScCr2Au
_chemical_formula_sum 'Sc1 Cr2 Au1'
_cell_length_a 2.979
_cell_length_b 4.684
_cell_length_c 4.767
_cell_angle_alpha 90.00
_cell_angle_beta 93.73
_cell_angle_gamma 90.00
_symmetry_space_group_name_H-M 'P 1'
_symmetry_Int_Tables_number 1
loop_
_symmetry_equiv_pos_as_xyz
'x,y,z'
loop_
_atom_site_label
_atom_site_type_symbol
_atom_site_fract_x
_atom_site_fract_y
_atom_site_fract_z
Sc1 Sc 0.000 0.000 0.000
Cr1 Cr 0.351 0.500 0.806
Cr2 Cr 0.649 0.500 0.194
Au1 Au 0.500 0.000 0.500

# Zn3CdSe (GGA-PBE, relaxed)
# E above lowest polymorph   0 meV per atom
# Space-group type   Pm-3m, No. 221
# Formation energy (no corrections)   36.8 kJ/mol of atoms
data_Zn3CdSe
_chemical_formula_sum 'Zn3 Cd1 Se1'
_cell_length_a 5.044
_cell_length_b 5.044
_cell_length_c 5.044
_cell_angle_alpha 90.00
_cell_angle_beta 90.00
_cell_angle_gamma 90.00
_symmetry_space_group_name_H-M 'P 1'
_symmetry_Int_Tables_number 1
loop_
_symmetry_equiv_pos_as_xyz
'x,y,z'
loop_
_atom_site_label
_atom_site_type_symbol
_atom_site_fract_x
_atom_site_fract_y
_atom_site_fract_z
Zn1 Zn 0.000 0.000 0.500
Zn2 Zn 0.000 0.500 0.000
Zn3 Zn 0.500 0.000 0.000
Cd1 Cd 0.500 0.500 0.500
Se1 Se 0.000 0.000 0.000

# Sr3ZnH (GGA-PBE, relaxed)
# E above lowest polymorph   0 meV per atom
# Space-group type   P2_1/m, No. 11
data_Sr3ZnH
_chemical_formula_sum 'Sr6 Zn2 H2'
_cell_length_a 8.410
_cell_length_b 4.107
_cell_length_c 9.725
_cell_angle_alpha 90.00
_cell_angle_beta 100.83
_cell_angle_gamma 90.00
_symmetry_space_group_name_H-M 'P 1'
_symmetry_Int_Tables_number 1
loop_
_symmetry_equiv_pos_as_xyz
'x,y,z'
loop_
_atom_site_label
_atom_site_type_symbol
_atom_site_fract_x
_atom_site_fract_y
_atom_site_fract_z
Sr1 Sr 0.060 0.250 0.335
Sr2 Sr 0.272 0.250 0.994
Sr3 Sr 0.377 0.750 0.630
Sr4 Sr 0.623 0.250 0.370
Sr5 Sr 0.728 0.750 0.006
Sr6 Sr 0.940 0.750 0.665
Zn1 Zn 0.331 0.750 0.260
Zn2 Zn 0.669 0.250 0.740
H1 H 0.129 0.250 0.602
H2 H 0.871 0.750 0.398